Record 1
The following is a GGA-PBE calculation of a geometry-optimized BaH2I structure, from Alexandria via LeMat-Bulk.

It has space group Cm (No. 8), with a = 6.495 Å, b = 6.521 Å, c = 10.576 Å, α = 90.00°, β = 107.00° and γ = 90.00°. The asymmetric unit holds Ba at (0.000, 0.000, 0.000), Ba at (0.132, 0.500, 0.277), H at (0.254, 0.500, 0.635), H at (0.316, 0.250, 0.138), H at (0.368, 0.500, 0.631), I at (0.201, 0.000, 0.422) and I at (0.430, 0.000, 0.854).

The energy above the most stable polymorph in this dataset is 0.000 eV/atom.



Record 2
The following is a GGA-PBE calculation of a geometry-optimized BaH2I2 structure, from Alexandria via LeMat-Bulk.

It has space group C2/m (No. 12), with a = 8.096 Å, b = 4.679 Å, c = 8.402 Å, α = 90.00°, β = 108.96° and γ = 90.00°. The asymmetric unit holds Ba at (0.000, 0.000, 0.000), H at (0.155, 0.500, 0.968) and I at (0.063, 0.500, 0.690).

The energy above the most stable polymorph in this dataset is 0.214 eV/atom.



Record 3
The following is a GGA-PBE calculation of a geometry-optimized BaHI2 structure, from Alexandria via LeMat-Bulk.

It has space group I-42d (No. 122), with a = 6.784 Å, b = 6.784 Å, c = 18.055 Å, α = 90.00°, β = 90.00° and γ = 90.00°. The asymmetric unit holds Ba at (0.000, 0.000, 0.000), H at (0.000, 0.000, 0.500) and I at (0.234, 0.250, 0.625).

The electronic total energy is -2.721 eV/atom.